1.
Compound: MgNbCoRh
Source: Alexandria
Functional: PBE
Structure: optimized geometry

- formation energy (eV per atom) = -0.277
- total DFT energy (no corrections) (eV/atom) = -6.808
- mass density (Mg/m³) = 7.77

The structure in POSCAR format:
```
MgNbCoRh
1.0
0.0000 3.1005 3.1005
3.1005 0.0000 3.1005
3.1005 3.1005 0.0000
Mg Nb Co Rh
1 1 1 1
direct
0.0000 0.0000 0.0000
0.5000 0.5000 0.5000
0.7500 0.7500 0.7500
0.2500 0.2500 0.2500
```



2.
Compound: MgNbCoRu
Source: Alexandria
Functional: PBE
Structure: optimized geometry

- formation energy (eV per atom) = -0.193
- total DFT energy (no corrections) (eV/atom) = -7.205
- mass density (Mg/m³) = 7.84

The structure in POSCAR format:
```
MgNbCoRu
1.0
0.0000 3.0854 3.0854
3.0854 0.0000 3.0854
3.0854 3.0854 0.0000
Mg Nb Co Ru
1 1 1 1
direct
0.0000 0.0000 0.0000
0.5000 0.5000 0.5000
0.7500 0.7500 0.7500
0.2500 0.2500 0.2500
```



3.
Compound: Mg2ScNbCo
Source: Alexandria
Functional: PBE
Structure: optimized geometry

- formation energy (eV per atom) = 1.624
- total DFT energy (no corrections) (eV/atom) = -3.715
- mass density (Mg/m³) = 3.25

The structure in POSCAR format:
```
Mg2ScNbCo
1.0
5.2358 0.0000 0.0000
0.0000 5.2358 0.0000
0.0000 0.0000 4.5684
Mg Sc Nb Co
2 1 1 1
direct
0.0000 0.5000 0.0000
0.5000 0.0000 0.0000
0.0000 0.0000 0.0000
0.0000 0.0000 0.5000
0.5000 0.5000 0.5000
```



4.
Compound: MgNbCoTc2
Source: Alexandria
Functional: PBE
Structure: optimized geometry

- formation energy (eV per atom) = 1.349
- total DFT energy (no corrections) (eV/atom) = -6.551
- mass density (Mg/m³) = 6.00

The structure in POSCAR format:
```
MgNbCoTc2
1.0
4.7498 0.0000 0.0000
0.0000 4.7498 0.0000
0.0000 0.0000 4.5688
Mg Nb Co Tc
1 1 1 2
direct
0.0000 0.0000 0.0000
0.5000 0.5000 0.5000
0.5000 0.5000 0.0000
0.0000 0.5000 0.5000
0.5000 0.0000 0.5000
```